Entry from Alexandria: Zn2Te2Pd after structural relaxation (PBE-GGA).

Properties
VASP energy	-28.5	eV per cell
crystal system	tetragonal
energy relative to the elements, uncorrected	-0.043	eV/atom

abc: 7.6285 7.6285 4.0757
angles: 90.00 90.00 90.00
Last column: nearest neighbours and their distance in Å.
Atoms (fractional coordinates):
1 Zn 0.1179 0.3821 0.0000  1 Zn 2.54, 2 Te 2.74
2 Zn 0.3821 0.8821 0.0000  1 Zn 2.54, 2 Te 2.74
3 Zn 0.6179 0.1179 0.0000  1 Zn 2.54, 2 Te 2.74
4 Zn 0.8821 0.6179 0.0000  1 Zn 2.54, 2 Te 2.74
5 Te 0.2127 0.7127 0.5000  2 Pd 2.73, 2 Zn 2.74
6 Te 0.2873 0.2127 0.5000  2 Pd 2.73, 2 Zn 2.74
7 Te 0.7127 0.7873 0.5000  2 Pd 2.73, 2 Zn 2.74
8 Te 0.7873 0.2873 0.5000  2 Pd 2.73, 2 Zn 2.74
9 Pd 0.0000 0.0000 0.5000  4 Te 2.73
10 Pd 0.5000 0.5000 0.5000  4 Te 2.73



Entry from Alexandria: SnHgP2 after structural relaxation (PBE-GGA).

Properties
VASP energy	-14.3	eV per cell
crystal system	trigonal
ΔH_f (0 K)	0.20	eV per atom

abc: 7.8572 7.8572 7.8572
angles: 29.89 29.89 29.89
Last column: nearest neighbours and their distance in Å.
Atoms (fractional coordinates):
1 Sn 0.0000 0.0000 0.0000  6 P 2.69
2 Hg 0.5000 0.5000 0.5000  2 P 2.42
3 P 0.3925 0.3925 0.3925  1 Hg 2.42, 3 Sn 2.69
4 P 0.6075 0.6075 0.6075  1 Hg 2.42, 3 Sn 2.69



Which of these has the highest VASP energy? SnHgP2